No. 1
{
  "formula": "BaCeMgTl",
  "functional": "PBE",
  "state": "optimized geometry",
  "total_energy_ev_per_cell": -11.983,
  "sg": "F-43m, No. 216",
  "total_magnetization_mub_per_fu": 1.25,
  "dos_ef_per_ev_atom": 2.9163,
  "cell": [[0.000, 4.097, 4.097], [4.097, 0.000, 4.097], [4.097, 4.097, 0.000]],
  "species": ["Ba", "Ce", "Mg", "Tl"],
  "fractional_positions": [[0.000, 0.000, 0.000], [0.500, 0.500, 0.500], [0.250, 0.250, 0.250], [0.750, 0.750, 0.750]]
}

No. 2
{
  "formula": "K2SiW",
  "functional": "PBE",
  "state": "optimized geometry",
  "total_energy_ev_per_cell": -32.209,
  "sg": "I-42d, No. 122",
  "total_magnetization_mub_per_fu": 2.69,
  "dos_ef_per_ev_atom": 0.9266,
  "formation_energy_uncorrected_ev_per_fu": 4.47,
  "cell": [[-6.537, 6.537, 2.397], [6.537, -6.537, 2.397], [6.537, 6.537, -2.397]],
  "species": ["K", "K", "K", "K", "Si", "Si", "W", "W"],
  "fractional_positions": [[0.375, 0.150, 0.275], [0.850, 0.125, 0.225], [0.875, 0.100, 0.725], [0.900, 0.625, 0.775], [0.000, 0.000, 0.000], [0.750, 0.250, 0.500], [0.250, 0.750, 0.500], [0.500, 0.500, 0.000]]
}

No. 3
{
  "formula": "ThCdAgSn",
  "functional": "PBE",
  "state": "optimized geometry",
  "total_energy_ev_per_cell": -15.718,
  "sg": "F-43m, No. 216",
  "total_magnetization_mub_per_fu": 0.00,
  "dos_ef_per_ev_atom": 1.0119,
  "cell": [[0.000, 3.686, 3.686], [3.686, 0.000, 3.686], [3.686, 3.686, 0.000]],
  "species": ["Th", "Cd", "Ag", "Sn"],
  "fractional_positions": [[0.000, 0.000, 0.000], [0.500, 0.500, 0.500], [0.750, 0.750, 0.750], [0.250, 0.250, 0.250]]
}

No. 4
{
  "formula": "ScCSeBr2",
  "functional": "PBE",
  "state": "optimized geometry",
  "total_energy_ev_per_cell": -19.497,
  "sg": "P4/mmm, No. 123",
  "total_magnetization_mub_per_fu": 0.99,
  "relative_energy_mev_per_atom": 37,
  "dos_ef_per_ev_atom": 0.9407,
  "formation_energy_uncorrected_ev_per_fu": 2.89,
  "cell": [[5.189, 0.000, 0.000], [0.000, 5.189, 0.000], [0.000, 0.000, 5.398]],
  "species": ["Sc", "C", "Se", "Br", "Br"],
  "fractional_positions": [[0.000, 0.000, 0.000], [0.500, 0.500, 0.500], [0.000, 0.000, 0.500], [0.000, 0.500, 0.000], [0.500, 0.000, 0.000]]
}

No. 5
{
  "formula": "NaEuGdGa",
  "functional": "PBE",
  "state": "optimized geometry",
  "total_energy_ev_per_cell": -29.174,
  "sg": "F-43m, No. 216",
  "total_magnetization_mub_per_fu": 14.66,
  "dos_ef_per_ev_atom": 2.4799,
  "cell": [[0.000, 3.819, 3.819], [3.819, 0.000, 3.819], [3.819, 3.819, 0.000]],
  "species": ["Na", "Eu", "Gd", "Ga"],
  "fractional_positions": [[0.000, 0.000, 0.000], [0.250, 0.250, 0.250], [0.750, 0.750, 0.750], [0.500, 0.500, 0.500]]
}

No. 6
{
  "formula": "TlSb3N",
  "functional": "PBE",
  "state": "optimized geometry",
  "total_energy_ev_per_cell": -20.283,
  "sg": "Pm-3m, No. 221",
  "total_magnetization_mub_per_fu": 0.00,
  "relative_energy_mev_per_atom": 0,
  "dos_ef_per_ev_atom": 0.9175,
  "formation_energy_uncorrected_ev_per_fu": 2.78,
  "cell": [[4.895, 0.000, 0.000], [0.000, 4.895, 0.000], [0.000, 0.000, 4.895]],
  "species": ["Tl", "Sb", "Sb", "Sb", "N"],
  "fractional_positions": [[0.000, 0.000, 0.000], [0.000, 0.500, 0.500], [0.500, 0.000, 0.500], [0.500, 0.500, 0.000], [0.500, 0.500, 0.500]]
}

No. 7
{
  "formula": "Na2ThTlSe4",
  "functional": "PBE",
  "state": "optimized geometry",
  "total_energy_ev_per_cell": -35.608,
  "sg": "P2/m, No. 10",
  "total_magnetization_mub_per_fu": 0.00,
  "dos_ef_per_ev_atom": 0.3148,
  "formation_energy_uncorrected_ev_per_fu": -9.25,
  "cell": [[7.426, 0.000, 0.000], [0.000, 4.291, 0.000], [-2.531, 0.000, 7.078]],
  "species": ["Na", "Na", "Th", "Tl", "Se", "Se", "Se", "Se"],
  "fractional_positions": [[0.000, 0.000, 0.000], [0.000, 0.500, 0.500], [0.500, 0.000, 0.500], [0.500, 0.500, 0.000], [0.261, 0.000, 0.738], [0.262, 0.500, 0.269], [0.738, 0.500, 0.731], [0.739, 0.000, 0.262]]
}

No. 8
{
  "formula": "Ce2MgAl2Pd5",
  "functional": "PBE",
  "state": "optimized geometry",
  "total_energy_ev_per_cell": -107.420,
  "sg": "P4/mbm, No. 127",
  "total_magnetization_mub_per_fu": 2.63,
  "dos_ef_per_ev_atom": 1.4831,
  "cell": [[10.798, 0.000, 0.000], [0.000, 10.798, 0.000], [0.000, 0.000, 3.184]],
  "species": ["Ce", "Ce", "Ce", "Ce", "Mg", "Mg", "Al", "Al", "Al", "Al", "Pd", "Pd", "Pd", "Pd", "Pd", "Pd", "Pd", "Pd", "Pd", "Pd"],
  "fractional_positions": [[0.175, 0.325, 0.000], [0.325, 0.825, 0.000], [0.675, 0.175, 0.000], [0.825, 0.675, 0.000], [0.000, 0.000, 0.000], [0.500, 0.500, 0.000], [0.128, 0.628, 0.000], [0.372, 0.128, 0.000], [0.628, 0.872, 0.000], [0.872, 0.372, 0.000], [0.000, 0.500, 0.500], [0.057, 0.797, 0.500], [0.203, 0.057, 0.500], [0.297, 0.557, 0.500], [0.443, 0.297, 0.500], [0.500, 0.000, 0.500], [0.557, 0.703, 0.500], [0.703, 0.443, 0.500], [0.797, 0.943, 0.500], [0.943, 0.203, 0.500]]
}

No. 9
{
  "formula": "CaDyCdCu",
  "functional": "PBE",
  "state": "optimized geometry",
  "total_energy_ev_per_cell": -12.353,
  "sg": "F-43m, No. 216",
  "total_magnetization_mub_per_fu": 0.00,
  "dos_ef_per_ev_atom": 0.7386,
  "cell": [[0.000, 3.650, 3.650], [3.650, 0.000, 3.650], [3.650, 3.650, 0.000]],
  "species": ["Ca", "Dy", "Cd", "Cu"],
  "fractional_positions": [[0.000, 0.000, 0.000], [0.500, 0.500, 0.500], [0.750, 0.750, 0.750], [0.250, 0.250, 0.250]]
}

No. 10
{
  "formula": "AlIn2Os",
  "functional": "PBE",
  "state": "optimized geometry",
  "total_energy_ev_per_cell": -18.885,
  "sg": "Cmmm, No. 65",
  "total_magnetization_mub_per_fu": 0.00,
  "dos_ef_per_ev_atom": 0.2982,
  "cell": [[2.778, -4.055, 0.000], [2.778, 4.055, 0.000], [0.000, 0.000, 3.255]],
  "species": ["Al", "In", "In", "Os"],
  "fractional_positions": [[0.000, 0.000, 0.000], [0.000, 0.500, 0.500], [0.500, 0.000, 0.500], [0.500, 0.500, 0.000]]
}

No. 11
{
  "formula": "Tm4Sc9Tl11",
  "functional": "PBE",
  "state": "optimized geometry",
  "total_energy_ev_per_cell": -105.548,
  "sg": "Cmmm, No. 65",
  "total_magnetization_mub_per_fu": 2.84,
  "dos_ef_per_ev_atom": 0.9386,
  "cell": [[7.744, -11.196, 0.000], [7.744, 11.196, 0.000], [0.000, 0.000, 3.400]],
  "species": ["Tm", "Tm", "Tm", "Tm", "Sc", "Sc", "Sc", "Sc", "Sc", "Sc", "Sc", "Sc", "Sc", "Tl", "Tl", "Tl", "Tl", "Tl", "Tl", "Tl", "Tl", "Tl", "Tl", "Tl"],
  "fractional_positions": [[0.089, 0.250, 0.000], [0.250, 0.089, 0.000], [0.750, 0.911, 0.000], [0.911, 0.750, 0.000], [0.000, 0.000, 0.000], [0.113, 0.664, 0.000], [0.300, 0.492, 0.000], [0.336, 0.887, 0.000], [0.492, 0.300, 0.000], [0.508, 0.700, 0.000], [0.664, 0.113, 0.000], [0.700, 0.508, 0.000], [0.887, 0.336, 0.000], [0.092, 0.454, 0.500], [0.123, 0.877, 0.500], [0.296, 0.296, 0.500], [0.311, 0.689, 0.500], [0.454, 0.092, 0.500], [0.500, 0.500, 0.500], [0.546, 0.908, 0.500], [0.689, 0.311, 0.500], [0.704, 0.704, 0.500], [0.877, 0.123, 0.500], [0.908, 0.546, 0.500]]
}

No. 12
{
  "formula": "EuEr2Tm",
  "functional": "PBE",
  "state": "optimized geometry",
  "total_energy_ev_per_cell": -23.603,
  "sg": "P4/mmm, No. 123",
  "total_magnetization_mub_per_fu": 7.45,
  "relative_energy_mev_per_atom": 0,
  "dos_ef_per_ev_atom": 1.3022,
  "cell": [[3.559, 0.000, 0.000], [0.000, 3.559, 0.000], [0.000, 0.000, 10.239]],
  "species": ["Eu", "Er", "Er", "Tm"],
  "fractional_positions": [[0.000, 0.000, 0.000], [0.500, 0.500, 0.267], [0.500, 0.500, 0.733], [0.000, 0.000, 0.500]]
}

No. 13
{
  "formula": "YSi2Se",
  "functional": "PBE",
  "state": "optimized geometry",
  "total_energy_ev_per_cell": -22.345,
  "sg": "Cm, No. 8",
  "total_magnetization_mub_per_fu": 0.00,
  "dos_ef_per_ev_atom": 0.4307,
  "formation_energy_uncorrected_ev_per_fu": -1.55,
  "cell": [[4.950, -1.837, 0.000], [4.950, 1.837, 0.000], [-2.603, 0.000, 4.392]],
  "species": ["Y", "Si", "Si", "Se"],
  "fractional_positions": [[0.000, 0.000, 0.000], [0.451, 0.451, 0.449], [0.772, 0.772, 0.280], [0.207, 0.207, 0.706]]
}